VASP calculation (PBE-GGA) on a geometry-optimized AlTc2Pb structure.

The structure in POSCAR format:
```
AlTc2Pb
1.0
3.023 0.000 0.000
0.000 3.023 0.000
0.000 0.000 8.304
Al Tc Pb
1 2 1
Cartesian
0.000 0.000 0.000 Al
0.000 0.000 5.272 Tc
1.511 1.511 6.757 Tc
1.511 1.511 3.015 Pb
```

Computed properties:
E_form   0.102 eV/atom
VASP energy   -27.8 eV per formula unit
Total magnetization   0.000 μB/f.u.
Space-group type   No. 99
Polymorph energy (0 for the lowest one)   43.8 meV/atom